# 1
Computed, not measured: crystalline Ca3GeAs2Pd9 at its relaxed geometry at the PBE level of DFT.

Cell and atoms, written as extended XYZ:
```
15
Lattice="-2.744 -1.317 5.779 3.367 -4.628 -3.147 7.243 2.537 4.018" Properties=species:S:1:pos:R:3 pbc="T T T"
As 2.649 -3.063 0.560
Pd -1.372 -0.659 2.889
Pd 3.284 0.023 7.381
Pd 4.864 0.782 4.053
As 5.217 -0.346 6.090
Ca 0.000 0.000 0.000
Ca 6.346 -1.768 2.610
Pd 4.582 -3.432 -0.732
Ca 1.520 -1.641 4.039
Pd 5.222 -2.642 5.569
Pd 2.643 -0.767 1.080
Pd 1.683 -2.314 -1.574
Pd 3.002 -4.190 2.596
Ge 3.622 1.268 2.009
Pd 0.311 -2.973 1.316
```

Properties
**Total energy**: -4.995 eV per atom
**Space-group type**: P-3m1 (164)

# 2
Computed, not measured: crystalline Pm2SmHf at its relaxed geometry at the PBE level of DFT.

Cell and atoms, written as extended XYZ:
```
4
Lattice="4.051 0.000 0.000 0.000 4.051 0.000 0.000 0.000 7.422" Properties=species:S:1:pos:R:3 pbc="T T T"
Pm 0.000 0.000 5.793
Pm 0.000 0.000 1.630
Sm 2.026 2.026 3.711
Hf 2.026 2.026 0.000
```

Properties
**Space-group type**: P4/mmm (123)
**Relative energy among the computed polymorphs**: 27.5 kJ/mol of formula units

# 3
Computed, not measured: crystalline NdCdTe2O8 at its relaxed geometry at the PBE level of DFT.

Cell and atoms, written as extended XYZ:
```
12
Lattice="6.332 0.110 0.000 -2.710 5.724 0.000 -1.811 -2.917 5.322" Properties=species:S:1:pos:R:3 pbc="T T T"
Te 1.811 2.917 0.000
O 1.652 -0.519 1.678
Cd 0.000 0.000 0.000
Te 3.166 0.055 2.661
Nd -1.355 2.862 2.661
O 4.680 0.629 1.678
O -0.177 1.593 4.332
O 3.317 3.465 0.990
O 0.177 -1.593 4.332
O 3.323 -1.557 3.644
O 0.306 2.369 0.990
O 3.010 1.667 3.644
```

Properties
**Space-group type**: I-4m2 (119)
**Formation energy from raw total energies**: -1.38 eV/atom

# 4
Computed, not measured: crystalline TcSbMo4 at its relaxed geometry at the PBE level of DFT.

Cell and atoms, written as extended XYZ:
```
6
Lattice="0.000 3.708 3.708 3.708 0.000 3.708 3.708 3.708 0.000" Properties=species:S:1:pos:R:3 pbc="T T T"
Tc 0.000 0.000 0.000
Mo 2.790 2.790 2.790
Mo 4.627 4.627 2.790
Mo 4.627 2.790 4.627
Sb 5.563 5.563 5.563
Mo 2.790 4.627 4.627
```

Properties
**Space-group type**: F-43m (216)
**Formation energy from raw total energies**: 0.45 eV/atom

# 5
Computed, not measured: crystalline CaIn4IrPd2 at its relaxed geometry at the PBE level of DFT.

Cell and atoms, written as extended XYZ:
```
8
Lattice="4.554 0.000 0.000 2.277 3.944 0.000 2.277 1.315 9.599" Properties=species:S:1:pos:R:3 pbc="T T T"
Pd 6.831 3.944 6.765
Ir 4.554 2.629 4.800
Ca 0.000 0.000 0.000
In 4.554 2.629 1.912
Pd 2.277 1.315 2.835
In 4.554 2.629 7.687
In 6.831 3.944 3.836
In 2.277 1.315 5.763
```

Properties
**Total energy**: -4.389 eV per atom
**Space-group type**: R-3m (166)

# 6
Computed, not measured: crystalline TbDyCoRh at its relaxed geometry at the PBE level of DFT.

Cell and atoms, written as extended XYZ:
```
4
Lattice="-1.074 4.444 -1.472 -4.578 1.240 -0.751 -2.181 3.059 2.992" Properties=species:S:1:pos:R:3 pbc="T T T"
Co 0.000 0.000 0.000
Dy -5.874 6.557 0.577
Rh -3.916 4.372 0.385
Tb -1.958 2.186 0.192
```

Properties
**Total energy**: -6.406 eV per atom
**Space-group type**: F-43m (216)

# 7
Computed, not measured: crystalline VFe2Ag at its relaxed geometry at the PBE level of DFT.

Cell and atoms, written as extended XYZ:
```
8
Lattice="3.738 0.000 0.000 0.000 3.738 0.000 1.869 1.869 8.746" Properties=species:S:1:pos:R:3 pbc="T T T"
Fe 2.803 2.925 6.559
V 1.869 1.869 0.000
Ag 3.738 1.869 4.373
Fe 2.682 0.934 2.186
Ag 0.000 0.000 0.000
Fe 4.672 4.551 6.559
Fe 1.056 2.803 2.186
V 1.869 3.738 4.373
```

Properties
**Space-group type**: I-42d (122)
**Relative energy among the computed polymorphs**: 151.3 kJ/mol of formula units

# 8
Computed, not measured: crystalline CaCdTe2I at its relaxed geometry at the PBE level of DFT.

Cell and atoms, written as extended XYZ:
```
5
Lattice="-0.614 -5.256 -1.805 2.945 1.232 -4.590 5.046 -1.557 2.820" Properties=species:S:1:pos:R:3 pbc="T T T"
Te 1.472 0.616 -2.295
Te -0.307 -2.628 -0.902
Ca 3.689 -2.791 -1.787
I 2.523 -0.779 1.410
Cd 0.000 0.000 0.000
```

Properties
**Space-group type**: P4/mmm (123)
**Formation energy from raw total energies**: -0.34 eV/atom
**Relative energy among the computed polymorphs**: 0.0 kJ/mol of formula units